# 1
# PBE NaPrAu, optimized geometry
# ΔE to the lowest computed polymorph in meV/atom: 65
# Energy of formation in meV/atom: -303.7
# M_tot in μB/atom: 0.000
# Electronic total energy in eV/atom: -3.429
# DOS(E_F) in states/eV/f.u.: 3.16
data_NaPrAu
_chemical_formula_sum 'Na4 Pr4 Au4'
_cell_length_a 7.124
_cell_length_b 7.124
_cell_length_c 7.124
_cell_angle_alpha 90.00
_cell_angle_beta 90.00
_cell_angle_gamma 90.00
_symmetry_space_group_name_H-M 'F -4 3 m'
_symmetry_Int_Tables_number 216
_symmetry_space_group_name_Hall 'F -4 2 3'
loop_
_atom_site_label
_atom_site_fract_x
_atom_site_fract_y
_atom_site_fract_z
Na1 0.000 0.000 0.000
Pr1 0.000 0.000 0.500
Au1 0.250 0.250 0.750

=====

# 2
# PBE Ba2CaCdS, optimized geometry
# Uncorrected formation energy in meV per atom: -817
# M_tot in μB/atom: 0.000
# Electronic total energy in eV/atom: -2.995
# DOS(E_F) in states/eV/f.u.: 5.42
data_Ba2CaCdS
_chemical_formula_sum 'Ba2 Ca1 Cd1 S1'
_cell_length_a 6.218
_cell_length_b 6.218
_cell_length_c 5.316
_cell_angle_alpha 90.00
_cell_angle_beta 90.00
_cell_angle_gamma 90.00
_symmetry_space_group_name_H-M 'P 4/m m m'
_symmetry_Int_Tables_number 123
_symmetry_space_group_name_Hall '-P 4 2'
loop_
_atom_site_label
_atom_site_fract_x
_atom_site_fract_y
_atom_site_fract_z
Ba1 0.000 0.500 0.000
Ca1 0.000 0.000 0.500
Cd1 0.500 0.500 0.500
S1 0.000 0.000 0.000

=====

# 3
# PBE Tm8Te4As3P, optimized geometry
# Uncorrected formation energy in meV per atom: -1445
# M_tot in μB/atom: 0.000
# Electronic total energy in eV/atom: -5.676
# DOS(E_F) in states/eV/f.u.: 5.87
data_Tm8Te4As3P
_chemical_formula_sum 'Tm24 Te12 As9 P3'
_cell_length_a 8.2513
_cell_length_b 8.2513
_cell_length_c 20.9131
_cell_angle_alpha 90.00
_cell_angle_beta 90.00
_cell_angle_gamma 120.00
_symmetry_space_group_name_H-M 'R -3 m'
_symmetry_Int_Tables_number 166
_symmetry_space_group_name_Hall '-R 3 2"'
loop_
_atom_site_label
_atom_site_fract_x
_atom_site_fract_y
_atom_site_fract_z
Tm1 0.0000 0.0000 0.2388
Tm2 0.0068 0.5034 0.2376
Te1 0.0000 0.0000 0.0000
Te2 0.0000 0.5000 0.0000
As1 0.0000 0.5000 0.5000
P1 0.0000 0.0000 0.5000

=====

# 4
# PBE BeCdFe, optimized geometry
# ΔE to the lowest computed polymorph in meV/atom: 0
# Energy of formation in meV/atom: 266.9
# M_tot in μB/atom: 0.810
# Electronic total energy in eV/atom: -4.101
# DOS(E_F) in states/eV/f.u.: 1.32
data_BeCdFe
_chemical_formula_sum 'Be2 Cd2 Fe2'
_cell_length_a 3.896
_cell_length_b 3.946
_cell_length_c 5.605
_cell_angle_alpha 90.00
_cell_angle_beta 110.06
_cell_angle_gamma 90.00
_symmetry_space_group_name_H-M 'C 1 m 1'
_symmetry_Int_Tables_number 8
_symmetry_space_group_name_Hall 'C -2y'
loop_
_atom_site_label
_atom_site_fract_x
_atom_site_fract_y
_atom_site_fract_z
Be1 0.000 0.000 0.000
Cd1 0.321 0.000 0.642
Fe1 0.123 0.500 0.246

=====

# 5
# PBE Sc2CdBi2, optimized geometry
# ΔE to the lowest computed polymorph in meV/atom: 230
# Energy of formation in meV/atom: -168.8
# M_tot in μB/atom: 0.000
# Electronic total energy in eV/atom: -4.437
# DOS(E_F) in states/eV/f.u.: 2.00
data_Sc2CdBi2
_chemical_formula_sum 'Sc4 Cd2 Bi4'
_cell_length_a 5.186
_cell_length_b 5.186
_cell_length_c 11.931
_cell_angle_alpha 90.00
_cell_angle_beta 90.00
_cell_angle_gamma 90.00
_symmetry_space_group_name_H-M 'I 4/m m m'
_symmetry_Int_Tables_number 139
_symmetry_space_group_name_Hall '-I 4 2'
loop_
_atom_site_label
_atom_site_fract_x
_atom_site_fract_y
_atom_site_fract_z
Sc1 0.000 0.500 0.250
Cd1 0.000 0.000 0.000
Bi1 0.000 0.000 0.366

=====

# 6
# PBE HfVPtRh2, optimized geometry
# Energy of formation in meV/atom: 263.9
# M_tot in μB/atom: 0.000
# Electronic total energy in eV/atom: -7.699
# DOS(E_F) in states/eV/f.u.: 5.60
data_HfVPtRh2
_chemical_formula_sum 'Hf1 V1 Pt1 Rh2'
_cell_length_a 4.435
_cell_length_b 4.435
_cell_length_c 4.692
_cell_angle_alpha 90.00
_cell_angle_beta 90.00
_cell_angle_gamma 90.00
_symmetry_space_group_name_H-M 'P 4/m m m'
_symmetry_Int_Tables_number 123
_symmetry_space_group_name_Hall '-P 4 2'
loop_
_atom_site_label
_atom_site_fract_x
_atom_site_fract_y
_atom_site_fract_z
Hf1 0.000 0.000 0.000
V1 0.500 0.500 0.500
Pt1 0.500 0.500 0.000
Rh1 0.000 0.500 0.500

=====

Which of these has the highest M_tot?
BeCdFe

=====

electronic total energy of number 1 (NaPrAu)?
-3.429 eV/atom